[1]
Compound: Sc5Au3
Source: the Alexandria database
Functional: GGA-PBE
Structure: relaxed

a = 8.347 Å, b = 8.347 Å, c = 7.815 Å
α = 95.14°, β = 95.14°, γ = 139.33°
Sites, in units of the cell vectors:
Sc1 0.099 0.806 0.870
Sc2 0.465 0.334 0.705
Au1 0.387 0.887 0.179
Sc3 0.756 0.256 0.513
Sc4 0.535 0.666 0.296
Au2 0.160 0.341 0.500
Au3 0.841 0.660 0.500
Sc5 0.306 0.599 0.870
Au4 0.751 0.750 0.000
Sc6 0.166 0.035 0.296
Au5 0.614 0.114 0.822
Au6 0.250 0.251 0.000
Sc7 0.695 0.402 0.131
Sc8 0.245 0.745 0.488
Sc9 0.902 0.195 0.131
Sc10 0.834 0.965 0.705

## Properties
V ... 342.8 Å³/cell
Space group ... C2/m
Calculated formation energy ... -0.610 eV/atom
Raw total energy ... -5.796 eV per atom

***

[2]
Compound: Sc2Au3
Source: the Alexandria database
Functional: GGA-PBE
Structure: relaxed

a = 3.532 Å, b = 3.532 Å, c = 8.086 Å
α = 102.61°, β = 102.61°, γ = 90.00°
Sites, in units of the cell vectors:
Au1 0.802 0.802 0.604
Sc1 0.392 0.392 0.784
Sc2 0.608 0.608 0.216
Au2 0.198 0.198 0.396
Au3 0.000 0.000 0.000

## Properties
V ... 95.9 Å³/cell
Space group ... I4/mmm
Calculated formation energy ... -0.804 eV/atom
Raw total energy ... -5.303 eV per atom

***

[3]
Compound: Sc2Au
Source: the Alexandria database
Functional: GGA-PBE
Structure: relaxed

a = 5.605 Å, b = 5.605 Å, c = 5.605 Å
α = 60.00°, β = 60.00°, γ = 60.00°
Sites, in units of the cell vectors:
Sc1 0.125 0.625 0.125
Sc2 0.625 0.125 0.125
Au1 0.500 0.500 0.500
Sc3 0.125 0.125 0.625
Sc4 0.125 0.125 0.125
Au2 0.750 0.750 0.750

## Properties
V ... 124.5 Å³/cell
Space group ... Fd-3m
Calculated formation energy ... 0.081 eV/atom
Raw total energy ... -5.232 eV per atom

***

[4]
Compound: Sc2Au
Source: the Alexandria database
Functional: GGA-PBE
Structure: relaxed

a = 7.368 Å, b = 7.368 Å, c = 5.037 Å
α = 90.00°, β = 90.00°, γ = 151.04°
Sites, in units of the cell vectors:
Au1 0.218 0.782 0.250
Sc1 0.876 0.124 0.250
Au2 0.782 0.218 0.750
Sc2 0.433 0.567 0.750
Sc3 0.124 0.876 0.750
Sc4 0.567 0.433 0.250

## Properties
V ... 132.4 Å³/cell
Space group ... Cmcm
Calculated formation energy ... -0.418 eV/atom
Raw total energy ... -5.731 eV per atom

***

[5]
Compound: Sc3Au
Source: the Alexandria database
Functional: GGA-PBE
Structure: relaxed

a = 6.290 Å, b = 8.845 Å, c = 6.333 Å
α = 90.00°, β = 90.00°, γ = 90.00°
Sites, in units of the cell vectors:
Au1 0.537 0.750 0.990
Sc1 0.724 0.047 0.224
Au2 0.037 0.750 0.510
Sc2 0.776 0.953 0.724
Sc3 0.724 0.453 0.224
Sc4 0.995 0.750 0.088
Sc5 0.276 0.953 0.776
Sc6 0.005 0.250 0.912
Sc7 0.776 0.547 0.724
Sc8 0.224 0.453 0.276
Sc9 0.505 0.250 0.588
Au3 0.963 0.250 0.490
Sc10 0.276 0.547 0.776
Sc11 0.495 0.750 0.412
Au4 0.463 0.250 0.010
Sc12 0.224 0.047 0.276

## Properties
V ... 352.4 Å³/cell
Space group ... Pnma
Calculated formation energy ... -0.466 eV/atom
Raw total energy ... -6.034 eV per atom

***

[6]
Compound: Sc2Au3
Source: the Alexandria database
Functional: GGA-PBE
Structure: relaxed

a = 4.680 Å, b = 4.680 Å, c = 5.742 Å
α = 90.00°, β = 90.00°, γ = 120.00°
Sites, in units of the cell vectors:
Sc1 0.333 0.667 0.807
Sc2 0.667 0.333 0.193
Au1 0.667 0.333 0.687
Au2 0.333 0.667 0.313
Au3 0.000 0.000 0.000

## Properties
V ... 108.9 Å³/cell
Space group ... P-3m1
Calculated formation energy ... -0.585 eV/atom
Raw total energy ... -5.084 eV per atom